Record 1
First-principles (PBE) data for a relaxed ZrGaTe2 crystal, as listed in Alexandria via LeMat-Bulk.

Unit cell a=3.9203 b=3.9203 c=26.7999 alpha=90.00 beta=90.00 gamma=120.00
Last column: nearest neighbours and their distance in Å.
Space group R-3m (No. 166, hexagonal axes)
Inequivalent atoms, fractional coordinates:
Zr: 0.0000 0.0000 0.0000  2 Te 2.77
Ga: 0.0000 0.0000 0.5000  6 Te 2.83
Te: 0.0000 0.0000 0.1032  1 Zr 2.77, 3 Ga 2.83

## Properties
The raw formation energy is 0.120 eV/atom.

Record 2
First-principles (PBE) data for a relaxed Zr2GaTe4 crystal, as listed in Alexandria via LeMat-Bulk.

Unit cell a=17.5644 b=3.9822 c=6.8934 alpha=90.00 beta=112.90 gamma=90.00
Last column: nearest neighbours and their distance in Å.
Space group C2/m (No. 12)
Inequivalent atoms, fractional coordinates:
Zr: 0.2483 0.0000 0.2420  6 Te 2.91-2.95
Ga: 0.0000 0.5000 0.5000  6 Te 3.19-3.21
Te: 0.1359 0.5000 0.9705  3 Zr 2.91-2.93, 1 Ga 3.19
Te: 0.1390 0.0000 0.4732  3 Zr 2.94-2.95, 2 Ga 3.21

## Properties
The raw formation energy is -0.724 eV/atom.

Record 3
First-principles (PBE) data for a relaxed Zr8GaTe2 crystal, as listed in Alexandria via LeMat-Bulk.

Unit cell a=7.5552 b=13.0064 c=5.4883 alpha=90.00 beta=108.12 gamma=90.00
Last column: nearest neighbours and their distance in Å.
Space group C2/m (No. 12)
Inequivalent atoms, fractional coordinates:
Zr: 0.0000 0.2287 0.0000  2 Te 2.92, 1 Ga 2.97, 4 Zr 3.16-3.25
Zr: 0.1083 0.5000 0.8098  1 Ga 2.82, 2 Te 3.01, 1 Zr 3.03
Zr: 0.1989 0.1079 0.6590  2 Zr 2.81-2.97, 2 Te 2.90-2.97, 1 Ga 3.08
Ga: 0.0000 0.0000 0.0000  8 Zr 2.82-3.08
Te: 0.0000 0.3057 0.5000  8 Zr 2.90-3.01

## Properties
The raw formation energy is -0.235 eV/atom.

Record 4
First-principles (PBE) data for a relaxed Th5Ga3 crystal, as listed in Alexandria via LeMat-Bulk.

Unit cell a=9.0509 b=9.0509 c=6.3004 alpha=90.00 beta=90.00 gamma=120.00
Last column: nearest neighbours and their distance in Å.
Space group P6_3/mcm (No. 193)
Inequivalent atoms, fractional coordinates:
Th: 0.0000 0.2507 0.2500  5 Ga 3.09-3.39
Th: 0.3333 0.6667 0.0000  2 Th 3.15, 6 Ga 3.21
Ga: 0.0000 0.3894 0.7500  9 Th 3.09-3.39

## Properties
The energy of formation is -0.320 eV/atom.

Number 1: calculated volume 29.7 Å³/atom. Number 2: calculated volume 31.7 Å³/atom. Number 3: calculated volume 23.3 Å³/atom. Number 4: calculated volume 27.9 Å³/atom.